CsAc2Fe2O6 | Alexandria | PBE with a Hubbard U | relaxed; energy = -74.3 eV per cell; crystal system = triclinic; space group = P-1, No. 2
1.0
6.640 0.000 0.000
-3.016 6.148 0.000
-3.302 -2.112 5.813
Cs Ac Fe O
1 2 2 6
direct
0.000 0.000 0.000 Cs
0.382 0.686 0.306 Ac
0.618 0.314 0.694 Ac
0.230 0.670 0.689 Fe
0.770 0.330 0.311 Fe
0.119 0.639 0.891 O
0.286 0.894 0.546 O
0.434 0.560 0.665 O
0.566 0.440 0.335 O
0.714 0.106 0.454 O
0.881 0.361 0.109 O